LiMgV2O6: relaxed, GGA+U.

Cell lengths 6.938, 6.938, 5.672 Å; angles 104.90, 104.90, 85.36 degrees
Sites, in units of the cell vectors:
Li (0.229, 0.771, 0.750)
Li (0.771, 0.229, 0.250)
Mg (0.093, 0.907, 0.250)
Mg (0.907, 0.093, 0.750)
V (0.202, 0.395, 0.267)
V (0.395, 0.202, 0.767)
V (0.605, 0.798, 0.233)
V (0.798, 0.605, 0.733)
O (0.027, 0.201, 0.145)
O (0.114, 0.638, 0.354)
O (0.201, 0.027, 0.645)
O (0.340, 0.380, 0.035)
O (0.362, 0.886, 0.146)
O (0.380, 0.340, 0.535)
O (0.620, 0.660, 0.465)
O (0.638, 0.114, 0.854)
O (0.660, 0.620, 0.965)
O (0.799, 0.973, 0.355)
O (0.886, 0.362, 0.646)
O (0.973, 0.799, 0.855)

Values from the calculation:
Magnetization, μB/cell: 2.0
V, Å³/atom: 12.75
Electronic total energy, eV for the cell shown: -138.174
Crystal system: monoclinic
SG: No. 15